(P)
## HfPdSN2 (PBE)

Data for an optimized crystal structure of HfPdSN2.

Cell lengths 3.9603, 3.9603, 4.5135 Å; angles 90.00, 90.00, 90.00 degrees
Closest atoms and distances in Å follow each position.
Space group P4/mmm (No. 123)
Asymmetric unit:
Hf (0.0000, 0.0000, 0.0000) x1  4 S 2.80, 8 N 3.00
Pd (0.5000, 0.5000, 0.5000) x1  4 N 1.98
S (0.5000, 0.5000, 0.0000) x1  2 Pd 2.26
N (0.0000, 0.5000, 0.5000) x2  2 Pd 1.98

Output
M_tot	0.00	μB per formula unit
DOS(E_F)	3.4	states/eV per cell
density	8.1	g/cm3

(Q)
## HfPdSN2 (PBE)

Data for an optimized crystal structure of HfPdSN2.

Cell lengths 4.0986, 4.0986, 5.1561 Å; angles 90.00, 90.00, 90.00 degrees
Closest atoms and distances in Å follow each position.
Space group P4/mmm (No. 123)
Asymmetric unit:
Hf (0.0000, 0.0000, 0.0000) x1  4 N 2.05
Pd (0.5000, 0.5000, 0.5000) x1  4 S 2.90
S (0.0000, 0.0000, 0.5000) x1  2 Hf 2.58
N (0.0000, 0.5000, 0.0000) x2  2 Hf 2.05

Output
M_tot	2.08	μB per formula unit
DOS(E_F)	5.0	states/eV per cell
density	6.6	g/cm3

Stability summary - winner: (Q); margin: 387 meV per atom.

(P)
## HfPdSeN2 (PBE)

Data for an optimized crystal structure of HfPdSeN2.

Cell lengths 4.0041, 4.0041, 4.7606 Å; angles 90.00, 90.00, 90.00 degrees
Closest atoms and distances in Å follow each position.
Space group P4/mmm (No. 123)
Asymmetric unit:
Hf (0.0000, 0.0000, 0.0000) x1  4 Se 2.83, 8 N 3.11
Pd (0.5000, 0.5000, 0.5000) x1  4 N 2.00
Se (0.5000, 0.5000, 0.0000) x1  2 Pd 2.38
N (0.0000, 0.5000, 0.5000) x2  2 Pd 2.00

Output
M_tot	0.00	μB per formula unit
DOS(E_F)	5.0	states/eV per cell
density	8.5	g/cm3

(Q)
## HfPdSeN2 (PBE)

Data for an optimized crystal structure of HfPdSeN2.

Cell lengths 4.0779, 4.0779, 5.5105 Å; angles 90.00, 90.00, 90.00 degrees
Closest atoms and distances in Å follow each position.
Space group P4/mmm (No. 123)
Asymmetric unit:
Hf (0.0000, 0.0000, 0.0000) x1  4 N 2.04
Pd (0.5000, 0.5000, 0.5000) x1  4 Se 2.88
Se (0.0000, 0.0000, 0.5000) x1  2 Hf 2.76, 4 Pd 2.88
N (0.0000, 0.5000, 0.0000) x2  2 Hf 2.04

Output
M_tot	1.68	μB per formula unit
DOS(E_F)	5.9	states/eV per cell
density	7.1	g/cm3

Stability summary - winner: (Q); margin: 568 meV per atom.

(P)
## HfTePdN2 (PBE)

Data for an optimized crystal structure of HfTePdN2.

Cell lengths 4.0611, 4.0611, 6.0923 Å; angles 90.00, 90.00, 90.00 degrees
Closest atoms and distances in Å follow each position.
Space group P4/mmm (No. 123)
Asymmetric unit:
Hf (0.0000, 0.0000, 0.0000) x1  4 N 2.03
Te (0.0000, 0.0000, 0.5000) x1  4 Pd 2.87, 2 Hf 3.05
Pd (0.5000, 0.5000, 0.5000) x1  4 Te 2.87
N (0.0000, 0.5000, 0.0000) x2  2 Hf 2.03

Output
M_tot	0.70	μB per formula unit
DOS(E_F)	5.9	states/eV per cell
density	7.3	g/cm3

(Q)
## HfTePdN2 (PBE)

Data for an optimized crystal structure of HfTePdN2.

Cell lengths 4.1051, 4.1051, 5.0796 Å; angles 90.00, 90.00, 90.00 degrees
Closest atoms and distances in Å follow each position.
Space group P4/mmm (No. 123)
Asymmetric unit:
Hf (0.0000, 0.0000, 0.0000) x1  4 Te 2.90
Te (0.5000, 0.5000, 0.0000) x1  2 Pd 2.54
Pd (0.5000, 0.5000, 0.5000) x1  4 N 2.05
N (0.0000, 0.5000, 0.5000) x2  2 Pd 2.05

Output
M_tot	0.00	μB per formula unit
DOS(E_F)	4.8	states/eV per cell
density	8.5	g/cm3

Stability summary - winner: (P); margin: 842 meV per atom.